(1)
A plane-wave DFT calculation with GGA-PBE was carried out for a relaxed structure of CsNdS2.

Unit cell a=4.248 b=4.248 c=16.190 alpha=90.00 beta=90.00 gamma=120.00
Sites, in units of the cell vectors:
Cs 0.333 0.667 0.250
Cs 0.667 0.333 0.750
Nd 0.000 0.000 0.000
Nd 0.000 0.000 0.500
S 0.333 0.667 0.594
S 0.333 0.667 0.906
S 0.667 0.333 0.094
S 0.667 0.333 0.406

Output
Its space group is P6_3/mmc (194). For the uncorrected formation energy, the calculation gives -7.2 eV/f.u. Its density of states at the Fermi level is 0.00 states/eV/cell. The total magnetic moment is 0.000 μB per cell. Its excess energy over the best structure of this formula in the dataset is 0 meV/atom.



(2)
A plane-wave DFT calculation with GGA-PBE was carried out for a relaxed structure of HoPuTlSb.

Unit cell a=7.567 b=7.567 c=7.567 alpha=90.00 beta=90.00 gamma=90.00
Sites, in units of the cell vectors:
Ho 0.000 0.000 0.000
Ho 0.000 0.500 0.500
Ho 0.500 0.000 0.500
Ho 0.500 0.500 0.000
Pu 0.000 0.000 0.500
Pu 0.000 0.500 0.000
Pu 0.500 0.000 0.000
Pu 0.500 0.500 0.500
Tl 0.250 0.250 0.750
Tl 0.250 0.750 0.250
Tl 0.750 0.250 0.250
Tl 0.750 0.750 0.750
Sb 0.250 0.250 0.250
Sb 0.250 0.750 0.750
Sb 0.750 0.250 0.750
Sb 0.750 0.750 0.250

Output
Its space group is F-43m (216). For the uncorrected formation energy, the calculation gives -1.5 eV/f.u. Its density of states at the Fermi level is 46.76 states/eV/cell. The total magnetic moment is 25.142 μB per cell.



(3)
A plane-wave DFT calculation with GGA-PBE was carried out for a relaxed structure of Sr3Ir.

Unit cell a=4.892 b=4.892 c=6.474 alpha=90.00 beta=90.00 gamma=90.00
Sites, in units of the cell vectors:
Sr 0.000 0.000 0.000
Sr 0.000 0.500 0.449
Sr 0.500 0.000 0.449
Ir 0.500 0.500 0.173

Output
Its space group is P4mm (99). Its formation energy is 0.18 eV/atom. Its density of states at the Fermi level is 3.66 states/eV/cell. The total magnetic moment is 0.000 μB per cell.



| no. | total DFT energy (no corrections) (eV per atom) |
| --- | --- |
| 1 | -5.2800 |
| 2 | -6.7131 |
| 3 | -3.2917 |